An optimized crystal structure of Ac2CdNi4Sn3. Source: the Alexandria database, functional GGA-PBE.

Results
crystal system	tetragonal
V	216.4	Å³/f.u.
formation energy from the elements	-0.45	eV/atom

Structure (CIF):
```
data_Ac2CdNi4Sn3
_cell_length_a 4.563
_cell_length_b 4.563
_cell_length_c 10.393
_cell_angle_alpha 90.00
_cell_angle_beta 90.00
_cell_angle_gamma 90.00
_symmetry_space_group_name_H-M 'P -4 m 2'
_symmetry_Int_Tables_number 115
_symmetry_space_group_name_Hall 'P -4 -2'
loop_
_atom_site_label
_atom_site_fract_x
_atom_site_fract_y
_atom_site_fract_z
Ac1 0.000 0.500 0.240
Cd1 0.000 0.000 0.500
Ni1 0.000 0.000 0.000
Ni2 0.000 0.500 0.632
Ni3 0.500 0.500 0.000
Sn1 0.000 0.500 0.880
Sn2 0.500 0.500 0.500
```



An optimized crystal structure of SrAcCdNi. Source: the Alexandria database, functional GGA-PBE.

Results
crystal system	cubic
V	116.5	Å³/f.u.
formation energy from the elements	-0.07	eV/atom

Structure (CIF):
```
data_SrAcCdNi
_cell_length_a 7.752
_cell_length_b 7.752
_cell_length_c 7.752
_cell_angle_alpha 90.00
_cell_angle_beta 90.00
_cell_angle_gamma 90.00
_symmetry_space_group_name_H-M 'F -4 3 m'
_symmetry_Int_Tables_number 216
_symmetry_space_group_name_Hall 'F -4 2 3'
loop_
_atom_site_label
_atom_site_fract_x
_atom_site_fract_y
_atom_site_fract_z
Sr1 0.000 0.000 0.000
Ac1 0.000 0.000 0.500
Cd1 0.250 0.250 0.250
Ni1 0.250 0.250 0.750
```



An optimized crystal structure of AcTbCdNi. Source: the Alexandria database, functional GGA-PBE.

Results
crystal system	cubic
V	106.1	Å³/f.u.
formation energy from the elements	-0.14	eV/atom

Structure (CIF):
```
data_AcTbCdNi
_cell_length_a 7.515
_cell_length_b 7.515
_cell_length_c 7.515
_cell_angle_alpha 90.00
_cell_angle_beta 90.00
_cell_angle_gamma 90.00
_symmetry_space_group_name_H-M 'F -4 3 m'
_symmetry_Int_Tables_number 216
_symmetry_space_group_name_Hall 'F -4 2 3'
loop_
_atom_site_label
_atom_site_fract_x
_atom_site_fract_y
_atom_site_fract_z
Ac1 0.000 0.000 0.000
Tb1 0.000 0.000 0.500
Cd1 0.250 0.250 0.250
Ni1 0.250 0.250 0.750
```



An optimized crystal structure of Ac2ZnCdNi. Source: the Alexandria database, functional GGA-PBE.

Results
crystal system	monoclinic
V	137.4	Å³/f.u.
formation energy from the elements	-0.29	eV/atom

Structure (CIF):
```
data_Ac2ZnCdNi
_cell_length_a 7.781
_cell_length_b 4.639
_cell_length_c 8.017
_cell_angle_alpha 90.00
_cell_angle_beta 108.26
_cell_angle_gamma 90.00
_symmetry_space_group_name_H-M 'P 1 21/m 1'
_symmetry_Int_Tables_number 11
_symmetry_space_group_name_Hall '-P 2yb'
loop_
_atom_site_label
_atom_site_fract_x
_atom_site_fract_y
_atom_site_fract_z
Ac1 0.127 0.250 0.340
Ac2 0.282 0.250 0.938
Zn1 0.402 0.750 0.275
Cd1 0.381 0.750 0.640
Ni1 0.086 0.750 0.058
```



An optimized crystal structure of AcNpCdO6. Source: the Alexandria database, functional GGA-PBE.

Results
crystal system	trigonal
V	143.7	Å³/f.u.
raw formation energy	-2.386	eV per atom

Structure (CIF):
```
data_AcNpCdO6
_cell_length_a 6.1452
_cell_length_b 6.1452
_cell_length_c 8.7892
_cell_angle_alpha 90.00
_cell_angle_beta 90.00
_cell_angle_gamma 120.00
_symmetry_space_group_name_H-M 'P -3 1 c'
_symmetry_Int_Tables_number 163
_symmetry_space_group_name_Hall '-P 3 2c'
loop_
_atom_site_label
_atom_site_fract_x
_atom_site_fract_y
_atom_site_fract_z
Ac1 0.3333 0.6667 0.2500
Np1 0.3333 0.6667 0.7500
Cd1 0.0000 0.0000 0.0000
O1 0.0574 0.3797 0.6288
```



An optimized crystal structure of Ac2NpCdO8. Source: the Alexandria database, functional GGA-PBE.

Results
crystal system	triclinic
V	192.9	Å³/f.u.
raw formation energy	-2.488	eV per atom

Structure (CIF):
```
data_Ac2NpCdO8
_cell_length_a 4.293
_cell_length_b 5.507
_cell_length_c 8.238
_cell_angle_alpha 89.91
_cell_angle_beta 89.96
_cell_angle_gamma 82.06
_symmetry_space_group_name_H-M 'P -1'
_symmetry_Int_Tables_number 2
_symmetry_space_group_name_Hall '-P 1'
loop_
_atom_site_label
_atom_site_fract_x
_atom_site_fract_y
_atom_site_fract_z
Ac1 0.000 0.001 0.254
Np1 0.500 0.500 0.500
Cd1 0.500 0.500 0.000
O1 0.075 0.741 0.000
O2 0.083 0.717 0.500
O3 0.443 0.269 0.693
O4 0.444 0.271 0.306
```



An optimized crystal structure of Ac2CdO. Source: the Alexandria database, functional GGA-PBE.

Results
crystal system	trigonal
V	113.4	Å³/f.u.
energy above the lowest structure with this stoichiometry	273	meV per atom
raw formation energy	-1.251	eV per atom

Structure (CIF):
```
data_Ac2CdO
_cell_length_a 3.9719
_cell_length_b 3.9719
_cell_length_c 24.9067
_cell_angle_alpha 90.00
_cell_angle_beta 90.00
_cell_angle_gamma 120.00
_symmetry_space_group_name_H-M 'R -3 m'
_symmetry_Int_Tables_number 166
_symmetry_space_group_name_Hall '-R 3 2"'
loop_
_atom_site_label
_atom_site_fract_x
_atom_site_fract_y
_atom_site_fract_z
Ac1 0.0000 0.0000 0.2256
Cd1 0.0000 0.0000 0.0000
O1 0.0000 0.0000 0.5000
```



An optimized crystal structure of Ac4Cd2O. Source: the Alexandria database, functional GGA-PBE.

Results
crystal system	tetragonal
V	232.6	Å³/f.u.
raw formation energy	-0.838	eV per atom

Structure (CIF):
```
data_Ac4Cd2O
_cell_length_a 5.232
_cell_length_b 5.232
_cell_length_c 16.998
_cell_angle_alpha 90.00
_cell_angle_beta 90.00
_cell_angle_gamma 90.00
_symmetry_space_group_name_H-M 'I 4/m m m'
_symmetry_Int_Tables_number 139
_symmetry_space_group_name_Hall '-I 4 2'
loop_
_atom_site_label
_atom_site_fract_x
_atom_site_fract_y
_atom_site_fract_z
Ac1 0.000 0.000 0.176
Ac2 0.000 0.500 0.000
Cd1 0.000 0.000 0.369
O1 0.000 0.000 0.000
```



An optimized crystal structure of AcCdO. Source: the Alexandria database, functional GGA-PBE.

Results
crystal system	tetragonal
V	77.6	Å³/f.u.
raw formation energy	-1.983	eV per atom

Structure (CIF):
```
data_AcCdO
_cell_length_a 4.226
_cell_length_b 4.226
_cell_length_c 8.688
_cell_angle_alpha 90.00
_cell_angle_beta 90.00
_cell_angle_gamma 90.00
_symmetry_space_group_name_H-M 'P 4/n m m'
_symmetry_Int_Tables_number 129
loop_
_symmetry_equiv_pos_as_xyz
'x,y,z'
'-x,-y,-z'
'-y+1/2,x,z'
'y+1/2,-x,-z'
'-x+1/2,-y+1/2,z'
'x+1/2,y+1/2,-z'
'y,-x+1/2,z'
'-y,x+1/2,-z'
'x+1/2,-y,-z'
'-x+1/2,y,z'
'-y,-x,-z'
'y,x,z'
'-x,y+1/2,-z'
'x,-y+1/2,z'
'y+1/2,x+1/2,-z'
'-y+1/2,-x+1/2,z'
loop_
_atom_site_label
_atom_site_fract_x
_atom_site_fract_y
_atom_site_fract_z
Ac1 0.250 0.250 0.147
Cd1 0.250 0.250 0.573
O1 0.250 0.750 0.000
```



An optimized crystal structure of Ac2CdO. Source: the Alexandria database, functional GGA-PBE.

Results
crystal system	tetragonal
V	100.6	Å³/f.u.
energy above the lowest structure with this stoichiometry	613	meV per atom
raw formation energy	-0.911	eV per atom

Structure (CIF):
```
data_Ac2CdO
_cell_length_a 3.450
_cell_length_b 3.450
_cell_length_c 8.453
_cell_angle_alpha 90.00
_cell_angle_beta 90.00
_cell_angle_gamma 90.00
_symmetry_space_group_name_H-M 'P 4/m m m'
_symmetry_Int_Tables_number 123
_symmetry_space_group_name_Hall '-P 4 2'
loop_
_atom_site_label
_atom_site_fract_x
_atom_site_fract_y
_atom_site_fract_z
Ac1 0.000 0.000 0.202
Cd1 0.500 0.500 0.500
O1 0.500 0.500 0.000
```



An optimized crystal structure of Ac3CdO. Source: the Alexandria database, functional GGA-PBE.

Results
crystal system	cubic
V	150.9	Å³/f.u.
raw formation energy	-1.136	eV per atom

Structure (CIF):
```
data_Ac3CdO
_cell_length_a 5.324
_cell_length_b 5.324
_cell_length_c 5.324
_cell_angle_alpha 90.00
_cell_angle_beta 90.00
_cell_angle_gamma 90.00
_symmetry_space_group_name_H-M 'P m -3 m'
_symmetry_Int_Tables_number 221
_symmetry_space_group_name_Hall '-P 4 2 3'
loop_
_atom_site_label
_atom_site_fract_x
_atom_site_fract_y
_atom_site_fract_z
Ac1 0.000 0.000 0.500
Cd1 0.500 0.500 0.500
O1 0.000 0.000 0.000
```



An optimized crystal structure of Ac3CdO3. Source: the Alexandria database, functional GGA-PBE.

Results
crystal system	trigonal
V	192.4	Å³/f.u.
raw formation energy	-2.343	eV per atom

Structure (CIF):
```
data_Ac3CdO3
_cell_length_a 7.2841
_cell_length_b 7.2841
_cell_length_c 25.1243
_cell_angle_alpha 90.00
_cell_angle_beta 90.00
_cell_angle_gamma 120.00
_symmetry_space_group_name_H-M 'R -3'
_symmetry_Int_Tables_number 148
_symmetry_space_group_name_Hall '-R 3'
loop_
_atom_site_label
_atom_site_fract_x
_atom_site_fract_y
_atom_site_fract_z
Ac1 0.0011 0.6612 0.3965
Cd1 0.0000 0.0000 0.1667
O1 0.0024 0.6717 0.6299
```